Record 1
DFT (GGA-PBE) results for an optimized crystal structure of HoCuTe3Pb.

abc: 4.294 9.146 9.661
angles: 104.62 90.00 90.00
Fractional coordinates of all 12 atoms:
Cu 0.250 0.074 0.574
Cu 0.750 0.926 0.426
Te 0.750 0.903 0.137
Te 0.750 0.435 0.165
Te 0.250 0.565 0.835
Te 0.250 0.097 0.863
Te 0.750 0.227 0.510
Te 0.250 0.773 0.490
Ho 0.250 0.676 0.167
Ho 0.750 0.324 0.833
Pb 0.250 0.187 0.241
Pb 0.750 0.813 0.759

Symmetry: P2_1/m (11)

***

Record 2
DFT (GGA-PBE) results for an optimized crystal structure of Ho6CuPd2.

abc: 6.614 7.172 9.896
angles: 90.00 88.36 90.00
Fractional coordinates of all 18 atoms:
Ho 0.662 0.464 0.256
Ho 0.338 0.536 0.744
Ho 0.148 0.317 0.068
Ho 0.648 0.183 0.568
Ho 0.319 0.831 0.067
Ho 0.352 0.817 0.432
Ho 0.681 0.169 0.933
Ho 0.181 0.331 0.433
Ho 0.838 0.964 0.244
Ho 0.162 0.036 0.756
Ho 0.852 0.683 0.932
Ho 0.819 0.669 0.567
Pd 0.936 0.378 0.750
Pd 0.436 0.122 0.250
Pd 0.064 0.622 0.250
Pd 0.564 0.878 0.750
Cu 0.500 0.500 0.000
Cu 0.000 0.000 0.500

ΔE_f, eV/atom: -0.3924
Symmetry: P2_1/c (14)

***

Record 3
DFT (GGA-PBE) results for an optimized crystal structure of HoCuPd4.

abc: 5.289 5.289 5.289
angles: 60.00 60.00 60.00
Fractional coordinates of all 6 atoms:
Ho 0.000 0.000 0.000
Cu 0.250 0.250 0.250
Pd 0.625 0.625 0.126
Pd 0.625 0.625 0.625
Pd 0.126 0.625 0.625
Pd 0.625 0.126 0.625

ΔE_f, eV/atom: -0.4385
Symmetry: F-43m (216)

***

Record 4
DFT (GGA-PBE) results for an optimized crystal structure of HoCu2Pd9.

abc: 4.000 4.000 11.729
angles: 90.00 90.00 90.00
Fractional coordinates of all 12 atoms:
Pd 0.500 0.000 0.500
Pd 0.500 0.500 0.660
Pd 0.500 0.000 0.819
Pd 0.500 0.500 0.000
Pd 0.500 0.500 0.340
Pd 0.500 0.000 0.181
Pd 0.000 0.500 0.819
Pd 0.000 0.500 0.500
Pd 0.000 0.500 0.181
Ho 0.000 0.000 0.000
Cu 0.000 0.000 0.658
Cu 0.000 0.000 0.342

ΔE_f, eV/atom: -0.3155
Symmetry: P4/mmm (123)

***

Record 5
DFT (GGA-PBE) results for an optimized crystal structure of Ho3Cu3Pd.

abc: 4.299 3.657 9.586
angles: 101.00 102.96 90.00
Fractional coordinates of all 7 atoms:
Cu 0.570 0.570 0.141
Cu 0.852 0.352 0.704
Cu 0.141 0.641 0.283
Ho 0.686 0.186 0.372
Ho 0.000 0.000 0.000
Ho 0.316 0.816 0.631
Pd 0.434 0.434 0.869

ΔE_f, eV/atom: -0.4051
Symmetry: Imm2 (44)

***

Record 6
DFT (GGA-PBE) results for an optimized crystal structure of Ho12CuPd6.

abc: 8.231 8.231 8.231
angles: 100.63 100.63 100.63
Fractional coordinates of all 19 atoms:
Ho 0.570 0.176 0.415
Ho 0.953 0.322 0.076
Ho 0.176 0.415 0.570
Ho 0.585 0.430 0.824
Ho 0.824 0.585 0.430
Ho 0.047 0.678 0.924
Ho 0.430 0.824 0.585
Ho 0.924 0.047 0.678
Ho 0.415 0.570 0.176
Ho 0.322 0.076 0.953
Ho 0.678 0.924 0.047
Ho 0.076 0.953 0.322
Pd 0.377 0.687 0.865
Pd 0.687 0.865 0.377
Pd 0.865 0.377 0.687
Pd 0.135 0.623 0.313
Pd 0.623 0.313 0.135
Pd 0.313 0.135 0.623
Cu 0.000 0.000 0.000

ΔE_f, eV/atom: -0.4634
Symmetry: R-3 (148)

***

Record 7
DFT (GGA-PBE) results for an optimized crystal structure of HoCu3Pd6.

abc: 4.483 7.469 9.834
angles: 110.29 90.00 90.00
Fractional coordinates of all 20 atoms:
Pd 0.750 0.190 0.692
Pd 0.250 0.629 0.735
Pd 0.750 0.735 0.458
Pd 0.750 0.858 0.777
Pd 0.250 0.049 0.928
Pd 0.250 0.810 0.308
Pd 0.750 0.371 0.265
Pd 0.250 0.265 0.542
Pd 0.750 0.951 0.072
Pd 0.250 0.442 0.112
Pd 0.250 0.142 0.223
Pd 0.750 0.558 0.888
Cu 0.250 0.514 0.413
Cu 0.750 0.257 0.977
Cu 0.250 0.344 0.836
Cu 0.250 0.743 0.023
Cu 0.750 0.656 0.164
Cu 0.750 0.486 0.587
Ho 0.250 0.928 0.624
Ho 0.750 0.072 0.376

ΔE_f, eV/atom: -0.3596
Symmetry: P2_1/m (11)

***

Record 8
DFT (GGA-PBE) results for an optimized crystal structure of Ho3CuPd12.

abc: 4.083 4.083 16.125
angles: 90.00 90.00 90.00
Fractional coordinates of all 16 atoms:
Pd 0.500 0.000 0.886
Pd 0.000 0.500 0.371
Pd 0.500 0.500 0.242
Pd 0.500 0.500 0.500
Pd 0.000 0.500 0.629
Pd 0.500 0.000 0.114
Pd 0.000 0.500 0.114
Pd 0.500 0.000 0.371
Pd 0.000 0.500 0.886
Pd 0.500 0.500 0.758
Pd 0.500 0.500 0.000
Pd 0.500 0.000 0.629
Ho 0.000 0.000 0.242
Ho 0.000 0.000 0.758
Ho 0.000 0.000 0.500
Cu 0.000 0.000 0.000

ΔE_f, eV/atom: -0.6632
Symmetry: P4/mmm (123)

***

Record 9
DFT (GGA-PBE) results for an optimized crystal structure of HoCu6Pd.

abc: 4.883 4.883 4.883
angles: 90.00 90.00 90.00
Fractional coordinates of all 8 atoms:
Cu 0.500 0.258 0.000
Cu 0.742 0.000 0.500
Cu 0.000 0.500 0.742
Cu 0.258 0.000 0.500
Cu 0.500 0.742 0.000
Cu 0.000 0.500 0.258
Pd 0.500 0.500 0.500
Ho 0.000 0.000 0.000

ΔE_f, eV/atom: -0.0124
Symmetry: Pm-3 (200)

***

Record 10
DFT (GGA-PBE) results for an optimized crystal structure of HoCu2Pd5.

abc: 6.843 6.843 7.325
angles: 117.85 117.85 90.00
Fractional coordinates of all 16 atoms:
Cu 0.146 0.354 0.000
Cu 0.854 0.646 0.000
Cu 0.646 0.146 0.000
Cu 0.354 0.854 0.000
Pd 0.000 0.000 0.000
Pd 0.493 0.701 0.694
Pd 0.507 0.299 0.306
Pd 0.799 0.007 0.306
Pd 0.500 0.500 0.000
Pd 0.299 0.799 0.306
Pd 0.007 0.507 0.306
Pd 0.993 0.493 0.694
Pd 0.701 0.201 0.694
Pd 0.201 0.993 0.694
Ho 0.750 0.750 0.500
Ho 0.250 0.250 0.500

ΔE_f, eV/atom: -0.3574
Symmetry: I4/mcm (140)

***

Record 11
DFT (GGA-PBE) results for an optimized crystal structure of HoCu5Pd6.

abc: 4.111 7.095 6.437
angles: 90.00 108.63 90.00
Fractional coordinates of all 12 atoms:
Pd 0.829 0.263 0.659
Pd 0.500 0.734 0.000
Pd 0.829 0.737 0.659
Pd 0.171 0.737 0.341
Pd 0.500 0.266 0.000
Pd 0.171 0.263 0.341
Cu 0.335 0.500 0.672
Cu 0.000 0.500 0.000
Cu 0.323 0.000 0.646
Cu 0.677 0.000 0.354
Cu 0.665 0.500 0.328
Ho 0.000 0.000 0.000

ΔE_f, eV/atom: -0.3257
Symmetry: Cmmm (65)

***

Record 12
DFT (GGA-PBE) results for an optimized crystal structure of HoCu2Pd4.

abc: 5.385 6.381 5.147
angles: 68.66 124.87 125.56
Fractional coordinates of all 7 atoms:
Pd 0.000 0.500 0.000
Pd 0.500 0.000 0.000
Pd 0.704 0.276 0.454
Pd 0.296 0.724 0.546
Cu 0.263 0.285 0.541
Cu 0.737 0.715 0.459
Ho 0.000 0.000 0.000

ΔE_f, eV/atom: -0.3274
Symmetry: P-1 (2)

***

Record 13
DFT (GGA-PBE) results for an optimized crystal structure of Ho2Cu2Pd.

abc: 3.978 5.467 10.108
angles: 81.38 78.65 68.67
Fractional coordinates of all 10 atoms:
Ho 0.310 0.266 0.115
Ho 0.690 0.734 0.885
Ho 0.490 0.682 0.338
Ho 0.510 0.318 0.662
Cu 0.972 0.163 0.894
Cu 0.135 0.280 0.450
Cu 0.865 0.720 0.550
Cu 0.028 0.837 0.106
Pd 0.789 0.098 0.323
Pd 0.211 0.902 0.677

ΔE_f, eV/atom: -0.4814
Symmetry: C2/m (12)

***

Record 14
DFT (GGA-PBE) results for an optimized crystal structure of HoCu3Pd4.

abc: 4.184 7.013 8.370
angles: 90.00 90.00 90.00
Fractional coordinates of all 16 atoms:
Cu 0.500 0.500 0.250
Cu 0.500 0.000 0.250
Cu 0.000 0.000 0.500
Cu 0.500 0.000 0.750
Cu 0.500 0.500 0.750
Cu 0.000 0.000 0.000
Pd 0.000 0.771 0.250
Pd 0.500 0.771 0.500
Pd 0.500 0.771 0.000
Pd 0.000 0.229 0.750
Pd 0.500 0.229 0.500
Pd 0.500 0.229 0.000
Pd 0.000 0.229 0.250
Pd 0.000 0.771 0.750
Ho 0.000 0.500 0.500
Ho 0.000 0.500 0.000

ΔE_f, eV/atom: -0.4277
Symmetry: P4/mmm (123)

***

Record 15
DFT (GGA-PBE) results for an optimized crystal structure of HoCu4Pd.

abc: 4.994 4.994 4.994
angles: 60.00 60.00 60.00
Fractional coordinates of all 6 atoms:
Cu 0.626 0.626 0.123
Cu 0.123 0.626 0.626
Cu 0.626 0.123 0.626
Cu 0.626 0.626 0.626
Pd 0.000 0.000 0.000
Ho 0.250 0.250 0.250

ΔE_f, eV/atom: -0.3658
Symmetry: F-43m (216)

***

Record 16
DFT (GGA-PBE) results for an optimized crystal structure of Ho6Cu2Pd.

abc: 8.300 8.300 8.300
angles: 108.74 110.49 109.19
Fractional coordinates of all 18 atoms:
Ho 0.913 0.735 0.177
Ho 0.814 0.746 0.560
Ho 0.442 0.265 0.177
Ho 0.700 0.375 0.675
Ho 0.087 0.265 0.823
Ho 0.700 0.025 0.325
Ho 0.300 0.625 0.325
Ho 0.300 0.975 0.675
Ho 0.186 0.746 0.933
Ho 0.814 0.254 0.067
Ho 0.186 0.254 0.440
Ho 0.558 0.735 0.823
Cu 0.500 0.621 0.121
Cu 0.352 0.000 0.352
Cu 0.500 0.379 0.879
Cu 0.648 0.000 0.648
Pd 0.000 0.000 0.000
Pd 0.000 0.500 0.500

ΔE_f, eV/atom: -0.3004
Symmetry: Immm (71)

***

Record 17
DFT (GGA-PBE) results for an optimized crystal structure of HoCuPd5.

abc: 4.299 4.299 6.519
angles: 90.00 90.00 90.00
Fractional coordinates of all 7 atoms:
Ho 0.000 0.000 0.500
Pd 0.000 0.500 0.786
Pd 0.500 0.500 0.500
Pd 0.000 0.500 0.214
Pd 0.500 0.000 0.786
Pd 0.500 0.000 0.214
Cu 0.500 0.500 0.000

ΔE_f, eV/atom: -0.4017
Symmetry: P4/mmm (123)

***

Record 18
DFT (GGA-PBE) results for an optimized crystal structure of Ho3Cu2Pd.

abc: 4.906 4.906 6.010
angles: 90.00 90.00 120.00
Fractional coordinates of all 6 atoms:
Cu 0.667 0.333 0.343
Cu 0.333 0.667 0.657
Ho 0.000 0.000 0.500
Ho 0.333 0.667 0.166
Ho 0.667 0.333 0.834
Pd 0.000 0.000 0.000

ΔE_f, eV/atom: -0.4799
Symmetry: P-3m1 (164)

***

Record 19
DFT (GGA-PBE) results for an optimized crystal structure of Ho3Cu3Pd2.

abc: 3.888 6.834 6.834
angles: 120.00 90.00 90.00
Fractional coordinates of all 8 atoms:
Cu 0.000 0.775 0.775
Cu 0.000 0.225 0.000
Cu 0.000 0.000 0.225
Pd 0.000 0.333 0.667
Pd 0.000 0.667 0.333
Ho 0.500 0.000 0.630
Ho 0.500 0.630 0.000
Ho 0.500 0.370 0.370

ΔE_f, eV/atom: -0.5107
Symmetry: P-62m (189)

***

Record 20
DFT (GGA-PBE) results for an optimized crystal structure of HoCu8Pd3.

abc: 4.911 4.911 7.996
angles: 90.00 90.00 120.00
Fractional coordinates of all 12 atoms:
Ho 0.000 0.000 0.566
Pd 0.000 0.000 0.940
Pd 0.667 0.333 0.065
Pd 0.667 0.333 0.432
Cu 0.164 0.329 0.242
Cu 0.333 0.667 0.499
Cu 0.503 0.007 0.758
Cu 0.503 0.497 0.758
Cu 0.164 0.836 0.242
Cu 0.993 0.497 0.758
Cu 0.333 0.667 0.998
Cu 0.671 0.836 0.242

ΔE_f, eV/atom: -0.2204
Symmetry: P3m1 (156)

***

Record 21
DFT (GGA-PBE) results for an optimized crystal structure of Ho4Cu2Pd.

abc: 4.879 4.879 8.415
angles: 73.15 73.15 60.00
Fractional coordinates of all 7 atoms:
Ho 0.874 0.874 0.379
Ho 0.377 0.377 0.870
Ho 0.126 0.126 0.621
Ho 0.623 0.623 0.130
Cu 0.249 0.249 0.253
Cu 0.751 0.751 0.747
Pd 0.000 0.000 0.000

ΔE_f, eV/atom: -0.3198
Symmetry: R-3m (166)

***

For reference, DFT total energy by record: -4.3378, -5.0534, -5.3460, -5.2743, -4.8643, -5.2100, -5.1620, -5.6722, -4.3059, -5.1992, -5.0104, -5.1190, -4.9896, -5.1324, -4.7250, -4.8394, -5.3500, -4.9996, -5.0616, -4.6309, -4.8478 eV per atom.
For reference, magnetic moment by record: 0.0000, 0.0000, 0.0000, 0.0000, 0.0000, 0.0000, 0.0000, 0.0000, 0.0000, 0.0000, 0.0000, 0.0000, 0.0000, 0.0000, 0.0000, 0.0000, 0.0000, 0.0000, 0.0000, 0.0000, 0.0000 μB per atom.